Compound: Ac2BiHF
Source: the Alexandria database
Functional: PBE
Structure: relaxed

Results
Crystal system = tetragonal
V = 25.2 A^3/atom
Final energy = -5.07 eV per atom
Density of states at the Fermi level = 2.45 states/eV/f.u.

abc: 4.3347 4.3347 7.3750
angles: 107.09 107.09 90.00
Each line ends with the local moment (μB).
Fractional coordinates of all 5 atoms:
Ac 0.6408 0.6408 0.2816  0.11
F 0.2500 0.7500 0.5000  0.01
Bi 0.0000 0.0000 0.0000  -0.01
H 0.7500 0.2500 0.5000  0.00
Ac 0.3592 0.3592 0.7184  0.11